Compound: Ta2CoNi7Sb2
Source: the Alexandria database
Functional: GGA-PBE
Structure: optimized geometry

The space group is I4/mmm (No. 139) and the conventional cell measures 3.4145, 3.4145 and 29.5031 Å, with angles of 90.00, 90.00 and 90.00 degrees. The inequivalent atoms are Ta at (0.0000, 0.0000, 0.1258), Co at (0.0000, 0.0000, 0.5000), Ni at (0.0000, 0.0000, 0.0000), Ni at (0.0000, 0.0000, 0.2268), Ni at (0.0000, 0.5000, 0.0626) and Sb at (0.0000, 0.0000, 0.3127).

Its crystal system is tetragonal. The raw formation energy is 56 meV/atom. The value obtained for the calculated density is 10.38 g cm⁻³. The calculation puts the total magnetic moment at 4.47 Bohr magnetons per cell.